The following is a DFT calculation (PBE+U) of a geometry-optimized Nd2GaCoO6 structure.

Properties
Its density of states at the Fermi level is 0.00 states/eV/atom. Its space group is P2_1/c (14). The mass density is 7.41 g cm⁻³. The total energy is -7.1406 eV/atom. The value obtained for the magnetization is 0.0 μB per cell.

a = 5.430 Å, b = 5.499 Å, c = 7.699 Å
α = 90.00°, β = 89.77°, γ = 90.00°
Atoms (fractional coordinates):
O (0.716, 0.290, 0.543)
Ga (0.000, 0.500, 0.000)
O (0.580, 0.016, 0.247)
O (0.420, 0.984, 0.753)
O (0.209, 0.215, 0.457)
Ga (0.500, 0.000, 0.500)
O (0.216, 0.210, 0.043)
O (0.284, 0.710, 0.457)
O (0.920, 0.516, 0.253)
O (0.291, 0.715, 0.043)
O (0.791, 0.785, 0.543)
O (0.784, 0.790, 0.957)
Nd (0.989, 0.046, 0.750)
O (0.709, 0.285, 0.957)
O (0.080, 0.484, 0.747)
Co (0.000, 0.500, 0.500)
Nd (0.511, 0.546, 0.750)
Co (0.500, 0.000, 0.000)
Nd (0.011, 0.954, 0.250)
Nd (0.489, 0.454, 0.250)